1.
The following is a DFT calculation (PBE) of KTe2PbAuS after structural relaxation.

Structure (POSCAR):
```
KTe2PbAuS
1.0
2.219 -6.733 0.000
2.219 6.733 0.000
0.000 0.000 11.956
K Te Pb Au S
2 4 2 2 2
Direct
0.222 0.778 0.750
0.778 0.222 0.250
0.166 0.834 0.040
0.166 0.834 0.460
0.834 0.166 0.540
0.834 0.166 0.960
0.500 0.500 0.000
0.500 0.500 0.500
0.043 0.957 0.250
0.957 0.043 0.750
0.472 0.528 0.250
0.528 0.472 0.750
```

energy = -41.427 eV per cell

2.
The following is a DFT calculation (PBE) of RbZrCdAu after structural relaxation.

Structure (POSCAR):
```
RbZrCdAu
1.0
7.249 0.000 0.000
0.000 7.249 0.000
0.000 0.000 7.249
Rb Zr Cd Au
4 4 4 4
Direct
0.000 0.000 0.000
0.000 0.500 0.500
0.500 0.000 0.500
0.500 0.500 0.000
0.250 0.250 0.250
0.250 0.750 0.750
0.750 0.250 0.750
0.750 0.750 0.250
0.000 0.000 0.500
0.000 0.500 0.000
0.500 0.000 0.000
0.500 0.500 0.500
0.250 0.250 0.750
0.250 0.750 0.250
0.750 0.250 0.250
0.750 0.750 0.750
```

energy = -45.125 eV per cell

3.
The following is a DFT calculation (PBE) of MgPaCd after structural relaxation.

Structure (POSCAR):
```
MgPaCd
1.0
6.873 0.000 0.000
0.000 6.873 0.000
0.000 0.000 6.873
Mg Pa Cd
4 4 4
Direct
0.000 0.000 0.000
0.000 0.500 0.500
0.500 0.000 0.500
0.500 0.500 0.000
0.250 0.250 0.250
0.250 0.750 0.750
0.750 0.250 0.750
0.750 0.750 0.250
0.250 0.250 0.750
0.250 0.750 0.250
0.750 0.250 0.250
0.750 0.750 0.750
```

energy = -38.849 eV per cell

4.
The following is a DFT calculation (PBE) of HfAlIr after structural relaxation.

Structure (POSCAR):
```
HfAlIr
1.0
6.251 0.000 0.000
0.000 6.251 0.000
0.000 0.000 6.251
Hf Al Ir
4 4 4
Direct
0.000 0.000 0.000
0.000 0.500 0.500
0.500 0.000 0.500
0.500 0.500 0.000
0.250 0.250 0.750
0.250 0.750 0.250
0.750 0.250 0.250
0.750 0.750 0.750
0.250 0.250 0.250
0.250 0.750 0.750
0.750 0.250 0.750
0.750 0.750 0.250
```

energy = -90.293 eV per cell

5.
The following is a DFT calculation (PBE) of SrCuBi2 after structural relaxation.

Structure (POSCAR):
```
SrCuBi2
1.0
7.723 0.000 0.000
0.000 7.723 0.000
0.000 0.000 7.723
Sr Cu Bi
4 4 8
Direct
0.000 0.000 0.000
0.000 0.500 0.500
0.500 0.000 0.500
0.500 0.500 0.000
0.250 0.250 0.750
0.250 0.750 0.250
0.750 0.250 0.250
0.750 0.750 0.750
0.000 0.000 0.500
0.000 0.500 0.000
0.250 0.250 0.250
0.250 0.750 0.750
0.500 0.000 0.000
0.500 0.500 0.500
0.750 0.250 0.750
0.750 0.750 0.250
```

energy = -54.914 eV per cell

6.
The following is a DFT calculation (PBE) of TcGe2As after structural relaxation.

Structure (POSCAR):
```
TcGe2As
1.0
6.403 0.000 0.000
0.000 6.403 0.000
0.000 0.000 6.403
Tc Ge As
4 8 4
Direct
0.000 0.000 0.000
0.000 0.500 0.500
0.500 0.000 0.500
0.500 0.500 0.000
0.000 0.000 0.500
0.000 0.500 0.000
0.250 0.250 0.750
0.250 0.750 0.250
0.500 0.000 0.000
0.500 0.500 0.500
0.750 0.250 0.250
0.750 0.750 0.750
0.250 0.250 0.250
0.250 0.750 0.750
0.750 0.250 0.750
0.750 0.750 0.250
```

energy = -91.043 eV per cell